TbDy4Er4 after structural relaxation, computed with PBE.

The structure in POSCAR format:
```
TbDy4Er4
1.0
-5.284 5.284 2.484
5.284 -5.284 2.484
5.284 5.284 -2.484
Tb Dy Er
1 4 4
direct
0.000 0.000 0.000 Tb
0.000 0.333 0.333 Dy
0.000 0.667 0.667 Dy
0.333 0.000 0.333 Dy
0.667 0.000 0.667 Dy
0.333 0.333 0.667 Er
0.333 0.667 0.000 Er
0.667 0.333 0.000 Er
0.667 0.667 0.333 Er
```

DOS at the Fermi energy in states/eV/f.u.: 12.7
ΔH_f (0 K) in kJ per mole of atoms: 2
Total magnetic moment in μB per formula unit: 0.000
Space-group type: I4/mmm
Volume in Å³/cell: 277
Energy in eV per atom: -4.57